DFT (PBE) results for crystalline USb5 at its relaxed geometry.

abc: 4.4404 4.4281 8.6579
angles: 104.82 90.00 90.00
Sites, in units of the cell vectors:
Sb: 0.5000 0.1497 0.2993
Sb: 0.0000 0.6529 0.3057
Sb: 0.0000 0.3471 0.6943
Sb: 0.5000 0.5000 0.0000
Sb: 0.5000 0.8503 0.7007
U: 0.0000 0.0000 0.0000

Properties
- ΔE_f (raw) (kJ/mol of atoms) = -5.2
- size of the total moment (μB/cell) = 2.198
- volume (Å³ per atom) = 27.43
- calculated total energy (eV/atom) = -5.371

DFT (PBE) results for crystalline Mn8Ru3W at its relaxed geometry.

abc: 4.6728 4.6728 7.6230
angles: 90.00 90.00 120.00
Sites, in units of the cell vectors:
Mn: 0.1590 0.3179 0.2496
Mn: 0.3333 0.6667 0.5000
Mn: 0.5080 0.0159 0.7535
Mn: 0.9841 0.4920 0.7535
Mn: 0.6821 0.8410 0.2496
Mn: 0.3333 0.6667 0.9993
Mn: 0.5080 0.4920 0.7535
Mn: 0.1590 0.8410 0.2496
W: 0.0000 0.0000 0.5639
Ru: 0.6667 0.3333 0.4287
Ru: 0.6667 0.3333 0.0690
Ru: 0.0000 0.0000 0.9298

Properties
- size of the total moment (μB/cell) = 0.696
- volume (Å³ per atom) = 12.01
- calculated total energy (eV/atom) = -9.538
- formation enthalpy at 0 K (eV/atom) = -0.027

DFT (PBE) results for crystalline RbTlSe2 at its relaxed geometry.

abc: 8.3888 4.4033 16.1980
angles: 90.00 90.00 90.00
Sites, in units of the cell vectors:
Se: 0.8591 0.2500 0.7299
Se: 0.3591 0.2500 0.7701
Se: 0.6409 0.7500 0.2299
Se: 0.3049 0.2500 0.0375
Se: 0.1951 0.7500 0.5375
Se: 0.8049 0.2500 0.4625
Se: 0.1409 0.7500 0.2701
Se: 0.6951 0.7500 0.9625
Rb: 0.5794 0.7500 0.6529
Rb: 0.4206 0.2500 0.3471
Rb: 0.9206 0.2500 0.1529
Rb: 0.0794 0.7500 0.8471
Tl: 0.0327 0.2500 0.6011
Tl: 0.4673 0.7500 0.1011
Tl: 0.5327 0.2500 0.8989
Tl: 0.9673 0.7500 0.3989

Properties
- ΔE_f (raw) (kJ/mol of atoms) = -57.2
- size of the total moment (μB/cell) = 0.000
- energy above the lowest structure with this stoichiometry (meV/atom) = 75
- volume (Å³ per atom) = 37.40
- calculated total energy (eV/atom) = -3.169

DFT (PBE) results for crystalline PrSmCd14 at its relaxed geometry.

abc: 6.7088 6.7088 8.4588
angles: 90.00 90.00 90.00
Sites, in units of the cell vectors:
Cd: 0.6268 0.1232 0.2375
Cd: 0.1232 0.1232 0.7625
Cd: 0.6268 0.6268 0.7625
Cd: 0.1232 0.6268 0.7625
Cd: 0.3750 0.8750 0.5000
Cd: 0.8750 0.3750 0.0000
Cd: 0.1232 0.6268 0.2375
Cd: 0.8750 0.8750 0.0000
Cd: 0.3750 0.8750 0.0000
Cd: 0.3750 0.3750 0.0000
Cd: 0.1232 0.1232 0.2375
Cd: 0.6268 0.6268 0.2375
Cd: 0.8750 0.3750 0.5000
Cd: 0.6268 0.1232 0.7625
Pr: 0.3750 0.3750 0.5000
Sm: 0.8750 0.8750 0.5000

Properties
- size of the total moment (μB/cell) = 0.000
- volume (Å³ per atom) = 23.79
- calculated total energy (eV/atom) = -1.546
- formation enthalpy at 0 K (eV/atom) = -0.151

DFT (PBE) results for crystalline V2SbBr at its relaxed geometry.

abc: 4.6534 4.6534 4.6534
angles: 60.00 60.00 60.00
Sites, in units of the cell vectors:
V: 0.7500 0.7500 0.7500
V: 0.2500 0.2500 0.2500
Br: 0.0000 0.0000 0.0000
Sb: 0.5000 0.5000 0.5000

Properties
- ΔE_f (raw) (kJ/mol of atoms) = 35.2
- size of the total moment (μB/cell) = 2.546
- energy above the lowest structure with this stoichiometry (meV/atom) = 0
- volume (Å³ per atom) = 17.81
- calculated total energy (eV/atom) = -5.643

DFT (PBE) results for crystalline U2Sb2S7 at its relaxed geometry.

abc: 3.9059 8.9654 8.9654
angles: 57.28 77.42 77.42
Sites, in units of the cell vectors:
Sb: 0.7670 0.7554 0.7106
Sb: 0.2330 0.2894 0.2446
S: 0.1848 0.7066 0.9239
S: 0.8789 0.4208 0.8215
S: 0.1211 0.1785 0.5792
S: 0.5000 0.0180 0.9820
S: 0.8152 0.0761 0.2934
S: 0.5967 0.5300 0.2767
S: 0.4033 0.7233 0.4700
U: 0.0000 0.8018 0.1982
U: 0.5000 0.3539 0.6461

Properties
- ΔE_f (raw) (kJ/mol of atoms) = -76.1
- size of the total moment (μB/cell) = 0.045
- volume (Å³ per atom) = 23.26
- calculated total energy (eV/atom) = -6.217

DFT (PBE) results for crystalline Er5Ni4 at its relaxed geometry.

abc: 3.6619 5.4087 10.5669
angles: 75.30 80.02 70.21
Sites, in units of the cell vectors:
Ni: 0.4893 0.2136 0.8079
Ni: 0.3968 0.6024 0.6040
Ni: 0.5107 0.7864 0.1921
Ni: 0.6032 0.3976 0.3960
Er: 0.8899 0.8239 0.3963
Er: 0.1101 0.1761 0.6037
Er: 0.2227 0.3594 0.1952
Er: 0.0000 0.0000 0.0000
Er: 0.7773 0.6406 0.8048

Properties
- size of the total moment (μB/cell) = 0.000
- volume (Å³ per atom) = 21.07
- calculated total energy (eV/atom) = -5.515
- formation enthalpy at 0 K (eV/atom) = -0.411

DFT (PBE) results for crystalline TaTiOsPdPb at its relaxed geometry.

abc: 4.4453 3.0415 7.4213
angles: 90.00 107.45 90.00
Sites, in units of the cell vectors:
Os: 0.2426 0.5000 0.7815
Ta: 0.0957 0.0000 0.4887
Pd: 0.5393 0.5000 0.3758
Ti: 0.7235 0.0000 0.7436
Pb: 0.9019 0.5000 0.1003

Properties
- size of the total moment (μB/cell) = 0.000
- energy above the lowest structure with this stoichiometry (meV/atom) = 151
- volume (Å³ per atom) = 19.14
- calculated total energy (eV/atom) = -8.021
- formation enthalpy at 0 K (eV/atom) = -0.045

DFT (PBE) results for crystalline Tb5Cd4Hg at its relaxed geometry.

abc: 3.7529 3.7529 18.7829
angles: 90.00 90.00 90.00
Sites, in units of the cell vectors:
Tb: 0.5000 0.5000 0.7008
Tb: 0.5000 0.5000 0.9016
Tb: 0.5000 0.5000 0.0984
Tb: 0.5000 0.5000 0.5000
Tb: 0.5000 0.5000 0.2992
Hg: 0.0000 0.0000 0.0000
Cd: 0.0000 0.0000 0.3997
Cd: 0.0000 0.0000 0.2002
Cd: 0.0000 0.0000 0.7998
Cd: 0.0000 0.0000 0.6003

Properties
- size of the total moment (μB/cell) = 0.726
- volume (Å³ per atom) = 26.46
- calculated total energy (eV/atom) = -3.062
- formation enthalpy at 0 K (eV/atom) = -0.351

DFT (PBE) results for crystalline UPaRu at its relaxed geometry.

abc: 4.1038 5.6073 6.1159
angles: 72.75 89.95 68.57
Sites, in units of the cell vectors:
U: 0.8434 0.7583 0.7789
U: 0.3470 0.7503 0.0437
Ru: 0.2471 0.9510 0.4605
Ru: 0.9433 0.5575 0.3621
Pa: 0.6220 0.2023 0.1493
Pa: 0.5684 0.3063 0.6733

Properties
- size of the total moment (μB/cell) = 0.000
- energy above the lowest structure with this stoichiometry (meV/atom) = 0
- volume (Å³ per atom) = 20.70
- calculated total energy (eV/atom) = -10.178
- formation enthalpy at 0 K (eV/atom) = -0.158

DFT (PBE) results for crystalline Ca8PdRh2 at its relaxed geometry.

abc: 6.0704 7.8127 7.8127
angles: 111.86 99.92 99.92
Sites, in units of the cell vectors:
Ca: 0.3812 0.6640 0.9335
Ca: 0.9827 0.2180 0.7784
Ca: 0.9827 0.7784 0.2180
Ca: 0.3812 0.9335 0.6640
Ca: 0.1895 0.3707 0.3707
Ca: 0.5707 0.0740 0.3410
Ca: 0.7926 0.6394 0.6394
Ca: 0.5707 0.3410 0.0740
Rh: 0.4945 0.3224 0.6941
Rh: 0.4945 0.6941 0.3224
Pd: 0.1594 0.9984 0.9984

Properties
- size of the total moment (μB/cell) = 0.000
- volume (Å³ per atom) = 29.75
- calculated total energy (eV/atom) = -3.590
- formation enthalpy at 0 K (eV/atom) = -0.325

DFT (PBE) results for crystalline Tm4C2NO at its relaxed geometry.

abc: 4.8708 4.8708 5.9922
angles: 113.98 113.98 90.00
Sites, in units of the cell vectors:
O: 0.5000 0.5000 0.0000
Tm: 0.5048 0.0048 0.0095
Tm: 0.9952 0.4952 0.9905
Tm: 0.2504 0.2504 0.5008
Tm: 0.7496 0.7496 0.4992
N: 0.7500 0.2500 0.5000
C: 0.2500 0.7500 0.5000
C: 0.0000 0.0000 0.0000

Properties
- ΔE_f (raw) (kJ/mol of atoms) = -133.8
- size of the total moment (μB/cell) = 0.000
- volume (Å³ per atom) = 14.54
- calculated total energy (eV/atom) = -7.588

DFT (PBE) results for crystalline PaCd2TcO8 at its relaxed geometry.

abc: 5.0685 5.0587 6.6399
angles: 90.00 90.00 92.56
Sites, in units of the cell vectors:
Pa: 0.0000 0.0000 0.5000
O: 0.1747 0.8245 0.7821
O: 0.2897 0.2896 0.5000
O: 0.8253 0.1755 0.7821
O: 0.2669 0.2667 0.0000
O: 0.8253 0.1755 0.2179
O: 0.7331 0.7333 0.0000
O: 0.1747 0.8245 0.2179
O: 0.7103 0.7104 0.5000
Cd: 0.5000 0.5000 0.2412
Cd: 0.5000 0.5000 0.7588
Tc: 0.0000 0.0000 0.0000

Properties
- ΔE_f (raw) (kJ/mol of atoms) = -176.0
- size of the total moment (μB/cell) = 0.000
- volume (Å³ per atom) = 14.17
- calculated total energy (eV/atom) = -6.937

DFT (PBE) results for crystalline ZnPt6Au2 at its relaxed geometry.

abc: 5.5596 8.5886 8.5886
angles: 49.85 80.78 80.78
Sites, in units of the cell vectors:
Au: 0.1235 0.2540 0.2540
Au: 0.6235 0.2540 0.2540
Au: 0.8765 0.7460 0.7460
Au: 0.3765 0.7460 0.7460
Pt: 0.0602 0.0717 0.6921
Pt: 0.4398 0.3079 0.9283
Pt: 0.9398 0.9283 0.3079
Pt: 0.5602 0.0717 0.6921
Pt: 0.4398 0.9283 0.3079
Pt: 0.0602 0.6921 0.0717
Pt: 0.9398 0.3079 0.9283
Pt: 0.2055 0.5853 0.5853
Pt: 0.2945 0.4147 0.4147
Pt: 0.7055 0.5853 0.5853
Pt: 0.7945 0.4147 0.4147
Pt: 0.5602 0.6921 0.0717
Zn: 0.7500 0.0000 0.0000
Zn: 0.2500 0.0000 0.0000

Properties
- size of the total moment (μB/cell) = 0.001
- volume (Å³ per atom) = 17.14
- calculated total energy (eV/atom) = -4.893
- formation enthalpy at 0 K (eV/atom) = 0.004

DFT (PBE) results for crystalline Er2MgSc8 at its relaxed geometry.

abc: 5.4568 8.4349 8.7234
angles: 61.09 73.60 54.27
Sites, in units of the cell vectors:
Sc: 0.1924 0.6569 0.2374
Sc: 0.7059 0.5684 0.0000
Sc: 0.8076 0.1057 0.2374
Sc: 0.5000 0.2002 0.5996
Sc: 0.1924 0.8943 0.7626
Sc: 0.8076 0.3431 0.7626
Sc: 0.5000 0.7998 0.4004
Sc: 0.2941 0.4316 0.0000
Er: 0.0000 0.6951 0.6097
Er: 0.0000 0.3049 0.3903
Mg: 0.5000 0.0000 0.0000

Properties
- size of the total moment (μB/cell) = 0.150
- volume (Å³ per atom) = 25.94
- calculated total energy (eV/atom) = -5.412
- formation enthalpy at 0 K (eV/atom) = 0.167

DFT (PBE) results for crystalline CaSm6Ho6 at its relaxed geometry.

abc: 6.7597 6.7597 11.3761
angles: 90.00 90.00 120.00
Sites, in units of the cell vectors:
Sm: 0.3333 0.6667 0.5000
Sm: 0.6667 0.3333 0.0000
Sm: 0.0000 0.0000 0.6525
Sm: 0.6667 0.3333 0.5000
Sm: 0.0000 0.0000 0.3475
Sm: 0.3333 0.6667 0.0000
Ho: 0.5000 0.5000 0.2486
Ho: 0.5000 0.5000 0.7514
Ho: 0.5000 0.0000 0.7514
Ho: 0.5000 0.0000 0.2486
Ho: 0.0000 0.5000 0.2486
Ho: 0.0000 0.5000 0.7514
Ca: 0.0000 0.0000 0.0000

Properties
- size of the total moment (μB/cell) = 0.167
- volume (Å³ per atom) = 34.63
- calculated total energy (eV/atom) = -4.183
- formation enthalpy at 0 K (eV/atom) = 0.262

DFT (PBE) results for crystalline ZnIn2Se at its relaxed geometry.

abc: 3.5818 3.5818 7.4516
angles: 90.00 90.00 94.80
Sites, in units of the cell vectors:
In: 0.0000 0.0000 0.9598
In: 0.5000 0.5000 0.2779
Zn: 0.5000 0.5000 0.7152
Se: 0.0000 0.0000 0.5471

Properties
- ΔE_f (raw) (kJ/mol of atoms) = -6.8
- size of the total moment (μB/cell) = 0.000
- energy above the lowest structure with this stoichiometry (meV/atom) = 101
- volume (Å³ per atom) = 23.82
- calculated total energy (eV/atom) = -2.629

DFT (PBE) results for crystalline Y2Tm at its relaxed geometry.

abc: 6.5567 6.5567 6.5567
angles: 60.00 60.00 60.00
Sites, in units of the cell vectors:
Tm: 0.2500 0.2500 0.2500
Tm: 0.0000 0.0000 0.0000
Y: 0.6250 0.6250 0.6250
Y: 0.6250 0.1250 0.6250
Y: 0.1250 0.6250 0.6250
Y: 0.6250 0.6250 0.1250

Properties
- size of the total moment (μB/cell) = 0.000
- energy above the lowest structure with this stoichiometry (meV/atom) = 277
- volume (Å³ per atom) = 33.22
- calculated total energy (eV/atom) = -5.520
- formation enthalpy at 0 K (eV/atom) = 0.280

DFT (PBE) results for crystalline Ca5Mn at its relaxed geometry.

abc: 3.8089 3.8089 14.8237
angles: 90.00 90.00 90.00
Sites, in units of the cell vectors:
Ca: 0.5000 0.5000 0.3092
Ca: 0.0000 0.0000 0.1195
Ca: 0.0000 0.0000 0.8805
Ca: 0.0000 0.0000 0.5000
Ca: 0.5000 0.5000 0.6908
Mn: 0.5000 0.5000 0.0000

Properties
- size of the total moment (μB/cell) = 3.310
- energy above the lowest structure with this stoichiometry (meV/atom) = 0
- volume (Å³ per atom) = 35.84
- calculated total energy (eV/atom) = -3.023
- formation enthalpy at 0 K (eV/atom) = 0.173

DFT (PBE) results for crystalline Li5NiAs2 at its relaxed geometry.

abc: 4.3937 4.3937 16.0272
angles: 90.00 90.00 120.00
Sites, in units of the cell vectors:
Li: 0.3333 0.6667 0.9492
Li: 0.0000 0.0000 0.6525
Li: 0.0000 0.0000 0.3475
Li: 0.0000 0.0000 0.8475
Li: 0.6667 0.3333 0.4492
Li: 0.0000 0.0000 0.1525
Li: 0.6667 0.3333 0.2500
Li: 0.3333 0.6667 0.5508
Li: 0.3333 0.6667 0.7500
Li: 0.6667 0.3333 0.0508
As: 0.3333 0.6667 0.3885
As: 0.6667 0.3333 0.8885
As: 0.3333 0.6667 0.1115
As: 0.6667 0.3333 0.6115
Ni: 0.3333 0.6667 0.2500
Ni: 0.6667 0.3333 0.7500

Properties
- size of the total moment (μB/cell) = 0.000
- volume (Å³ per atom) = 16.75
- calculated total energy (eV/atom) = -3.603
- formation enthalpy at 0 K (eV/atom) = -0.521

DFT (PBE) results for crystalline Ta2IrPdW at its relaxed geometry.

abc: 4.8118 4.7266 4.8118
angles: 90.00 90.00 90.00
Sites, in units of the cell vectors:
W: 0.0000 0.5000 0.0000
Ta: 0.0000 0.0000 0.5000
Ta: 0.5000 0.0000 0.0000
Pd: 0.5000 0.5000 0.5000
Ir: 0.0000 0.0000 0.0000

Properties
- size of the total moment (μB/cell) = 0.000
- volume (Å³ per atom) = 21.89
- calculated total energy (eV/atom) = -8.834
- formation enthalpy at 0 K (eV/atom) = 1.309

DFT (PBE) results for crystalline TbY5Tm5 at its relaxed geometry.

abc: 5.8696 9.8438 6.9109
angles: 110.34 90.00 107.35
Sites, in units of the cell vectors:
Y: 0.1792 0.3584 0.9334
Y: 0.8208 0.6416 0.0666
Y: 0.5000 0.0000 0.0000
Y: 0.1793 0.3585 0.4255
Y: 0.8207 0.6415 0.5745
Tm: 0.3773 0.7546 0.3759
Tm: 0.0000 0.0000 0.5000
Tm: 0.6227 0.2454 0.6241
Tm: 0.6682 0.3363 0.1692
Tm: 0.3318 0.6637 0.8308
Tb: 0.0000 0.0000 0.0000

Properties
- size of the total moment (μB/cell) = 0.916
- energy above the lowest structure with this stoichiometry (meV/atom) = 133
- volume (Å³ per atom) = 32.27
- calculated total energy (eV/atom) = -5.103
- formation enthalpy at 0 K (eV/atom) = 0.289

DFT (PBE) results for crystalline InBSeBr2 at its relaxed geometry.

abc: 5.3689 5.3689 5.5921
angles: 90.00 90.00 90.00
Sites, in units of the cell vectors:
Se: 0.0000 0.0000 0.5000
Br: 0.0000 0.5000 0.0000
Br: 0.5000 0.0000 0.0000
B: 0.5000 0.5000 0.5000
In: 0.0000 0.0000 0.0000

Properties
- ΔE_f (raw) (kJ/mol of atoms) = 76.4
- size of the total moment (μB/cell) = 0.000
- energy above the lowest structure with this stoichiometry (meV/atom) = 493
- volume (Å³ per atom) = 32.24
- calculated total energy (eV/atom) = -2.457